## Pr6Nd2Ho3In (GGA-PBE)

Data for an optimized crystal structure of Pr6Nd2Ho3In.

Output
Size of the total moment in μB/atom: 0.00
Energy of formation in eV per atom: -0.0481
SG: C2/m (12)
N(E_F) in states/eV per atom: 1.147

Structure (CIF):
```
data_Pr6Nd2Ho3In
_chemical_formula_sum 'Pr6 Nd2 Ho3 In1'
_cell_length_a 6.259
_cell_length_b 6.259
_cell_length_c 11.971
_cell_angle_alpha 95.01
_cell_angle_beta 95.01
_cell_angle_gamma 120.11
_symmetry_space_group_name_H-M 'P 1'
_symmetry_Int_Tables_number 1
loop_
_symmetry_equiv_pos_as_xyz
'x,y,z'
loop_
_atom_site_label
_atom_site_type_symbol
_atom_site_fract_x
_atom_site_fract_y
_atom_site_fract_z
Ho1 Ho 0.500 0.500 0.500
Ho2 Ho 0.167 0.833 0.500
Ho3 Ho 0.833 0.167 0.500
Pr1 Pr 0.241 0.241 0.748
Pr2 Pr 0.590 0.916 0.749
Pr3 Pr 0.759 0.759 0.252
Pr4 Pr 0.410 0.084 0.251
Pr5 Pr 0.084 0.410 0.251
Pr6 Pr 0.916 0.590 0.749
Nd1 Nd 0.333 0.667 0.000
Nd2 Nd 0.667 0.333 0.000
In1 In 0.000 0.000 0.000
```

## Pr3Nd6Ho2In (GGA-PBE)

Data for an optimized crystal structure of Pr3Nd6Ho2In.

Output
Size of the total moment in μB/atom: 0.00
Energy of formation in eV per atom: -0.0302
SG: C2/m (12)
N(E_F) in states/eV per atom: 1.312

Structure (CIF):
```
data_Pr3Nd6Ho2In
_chemical_formula_sum 'Pr3 Nd6 Ho2 In1'
_cell_length_a 6.306
_cell_length_b 6.306
_cell_length_c 11.924
_cell_angle_alpha 95.19
_cell_angle_beta 95.19
_cell_angle_gamma 120.26
_symmetry_space_group_name_H-M 'P 1'
_symmetry_Int_Tables_number 1
loop_
_symmetry_equiv_pos_as_xyz
'x,y,z'
loop_
_atom_site_label
_atom_site_type_symbol
_atom_site_fract_x
_atom_site_fract_y
_atom_site_fract_z
Pr1 Pr 0.170 0.830 0.500
Pr2 Pr 0.830 0.170 0.500
Pr3 Pr 0.500 0.500 0.500
Ho1 Ho 0.666 0.334 0.000
Ho2 Ho 0.334 0.666 0.000
Nd1 Nd 0.404 0.079 0.241
Nd2 Nd 0.921 0.596 0.759
Nd3 Nd 0.754 0.754 0.244
Nd4 Nd 0.246 0.246 0.756
Nd5 Nd 0.079 0.404 0.241
Nd6 Nd 0.596 0.921 0.759
In1 In 0.000 0.000 0.000
```

## NdHoPuIn (GGA-PBE)

Data for an optimized crystal structure of NdHoPuIn.

Output
Size of the total moment in μB/atom: 1.68
Energy of formation in eV per atom: -0.0150
SG: F-43m (216)
N(E_F) in states/eV per atom: 2.537

Structure (CIF):
```
data_NdHoPuIn
_chemical_formula_sum 'Nd1 Ho1 Pu1 In1'
_cell_length_a 5.483
_cell_length_b 5.483
_cell_length_c 5.483
_cell_angle_alpha 60.00
_cell_angle_beta 60.00
_cell_angle_gamma 60.00
_symmetry_space_group_name_H-M 'P 1'
_symmetry_Int_Tables_number 1
loop_
_symmetry_equiv_pos_as_xyz
'x,y,z'
loop_
_atom_site_label
_atom_site_type_symbol
_atom_site_fract_x
_atom_site_fract_y
_atom_site_fract_z
Ho1 Ho 0.750 0.750 0.750
In1 In 0.250 0.250 0.250
Pu1 Pu 0.000 0.000 0.000
Nd1 Nd 0.500 0.500 0.500
```

## NdHoInRh (GGA-PBE)

Data for an optimized crystal structure of NdHoInRh.

Output
Size of the total moment in μB/atom: 0.00
Energy of formation in eV per atom: -0.4937
SG: F-43m (216)
N(E_F) in states/eV per atom: 0.861

Structure (CIF):
```
data_NdHoInRh
_chemical_formula_sum 'Nd1 Ho1 In1 Rh1'
_cell_length_a 5.172
_cell_length_b 5.172
_cell_length_c 5.172
_cell_angle_alpha 60.00
_cell_angle_beta 60.00
_cell_angle_gamma 60.00
_symmetry_space_group_name_H-M 'P 1'
_symmetry_Int_Tables_number 1
loop_
_symmetry_equiv_pos_as_xyz
'x,y,z'
loop_
_atom_site_label
_atom_site_type_symbol
_atom_site_fract_x
_atom_site_fract_y
_atom_site_fract_z
Nd1 Nd 0.750 0.750 0.750
In1 In 0.500 0.500 0.500
Ho1 Ho 0.250 0.250 0.250
Rh1 Rh 0.000 0.000 0.000
```

## NdHoScIn (GGA-PBE)

Data for an optimized crystal structure of NdHoScIn.

Output
ΔE to the lowest computed polymorph in meV per atom: 71
Size of the total moment in μB/atom: 0.45
Energy of formation in eV per atom: -0.0898
SG: F-43m (216)
N(E_F) in states/eV per atom: 1.479

Structure (CIF):
```
data_NdHoScIn
_chemical_formula_sum 'Nd1 Ho1 Sc1 In1'
_cell_length_a 5.364
_cell_length_b 5.364
_cell_length_c 5.364
_cell_angle_alpha 120.00
_cell_angle_beta 120.00
_cell_angle_gamma 90.00
_symmetry_space_group_name_H-M 'P 1'
_symmetry_Int_Tables_number 1
loop_
_symmetry_equiv_pos_as_xyz
'x,y,z'
loop_
_atom_site_label
_atom_site_type_symbol
_atom_site_fract_x
_atom_site_fract_y
_atom_site_fract_z
Nd1 Nd 0.500 0.500 0.000
In1 In 0.000 0.000 0.000
Sc1 Sc 0.250 0.750 0.500
Ho1 Ho 0.750 0.250 0.500
```

## NdHoScIn (GGA-PBE)

Data for an optimized crystal structure of NdHoScIn.

Output
ΔE to the lowest computed polymorph in meV per atom: 0
Size of the total moment in μB/atom: 0.27
Energy of formation in eV per atom: -0.1605
SG: F-43m (216)
N(E_F) in states/eV per atom: 1.275

Structure (CIF):
```
data_NdHoScIn
_chemical_formula_sum 'Nd1 Ho1 Sc1 In1'
_cell_length_a 5.400
_cell_length_b 5.400
_cell_length_c 5.400
_cell_angle_alpha 60.00
_cell_angle_beta 60.00
_cell_angle_gamma 60.00
_symmetry_space_group_name_H-M 'P 1'
_symmetry_Int_Tables_number 1
loop_
_symmetry_equiv_pos_as_xyz
'x,y,z'
loop_
_atom_site_label
_atom_site_type_symbol
_atom_site_fract_x
_atom_site_fract_y
_atom_site_fract_z
In1 In 0.500 0.500 0.500
Ho1 Ho 0.750 0.750 0.750
Nd1 Nd 0.250 0.250 0.250
Sc1 Sc 0.000 0.000 0.000
```